Entry from Alexandria: a relaxed LaCo3Te crystal (PBE-GGA).

Properties
**Energy above the lowest structure with this stoichiometry**: 0.0 meV/atom
**Density of states at the Fermi level**: 1.207 states/eV per atom
**Uncorrected formation energy**: 0.41 eV/atom

a b c (Å): 4.684 4.684 4.684
angles (deg): 90.00 90.00 90.00
Space group Pm-3m (No. 221)
Symmetry-distinct sites (fractional):
La  0.000  0.000  0.000 x1
Co  0.000  0.500  0.500 x3
Te  0.500  0.500  0.500 x1